P:
La2Pr4Y5 | PBE | optimized geometry

Cell and atoms, written as POSCAR:
```
La2Pr4Y5
1.0
-2.435 -1.494 -2.173
2.945 -8.183 2.324
-12.006 15.542 5.733
La Pr Y
2 4 5
Cartesian
-7.456 2.901 3.396
-4.039 2.965 2.487
-1.831 -3.444 1.454
1.383 -5.452 2.197
-9.665 9.310 4.429
-12.879 11.318 3.686
-5.912 6.041 2.472
-5.583 -0.175 3.411
-2.082 0.050 2.298
-1.217 -0.747 -1.087
-9.414 5.816 3.585
```

Calculated values
* space-group type: C2/m, No. 12
* V: 383.07 Å³/cell

---

Q:
La2Pr4Y5 | PBE | optimized geometry

Cell and atoms, written as POSCAR:
```
La2Pr4Y5
1.0
-3.574 3.996 2.480
-5.146 -2.796 -2.912
1.017 -7.718 6.869
La Pr Y
2 4 5
Cartesian
-2.980 -5.897 5.207
-4.723 -0.622 1.230
-5.237 -6.086 2.258
-6.298 -5.424 6.697
-2.465 -0.433 4.179
-1.404 -1.095 -0.260
-5.348 -2.973 4.117
-2.354 -3.545 2.319
-3.030 -2.565 6.801
-1.787 1.998 1.240
-4.673 -3.953 -0.364
```

Calculated values
* space-group type: C2/m, No. 12
* V: 383.89 Å³/cell

---

Bottom line: P, by a margin of 17 meV per atom.

---

P:
La2Pr2Y7 | PBE | optimized geometry

Cell and atoms, written as POSCAR:
```
La2Pr2Y7
1.0
-1.483 5.988 3.503
3.014 -1.080 6.911
5.256 4.944 -2.437
La Pr Y
2 2 7
Cartesian
4.152 6.964 0.826
2.636 2.888 7.151
1.677 6.939 4.874
5.111 2.913 3.103
2.993 3.915 -0.201
4.916 8.949 3.504
3.794 5.937 8.178
1.872 0.903 4.473
0.000 0.000 0.000
4.926 5.724 4.870
1.861 4.128 3.107
```

Calculated values
* space-group type: C2/m, No. 12
* V: 380.38 Å³/cell

---

Q:
La2Pr2Y7 | PBE | optimized geometry

Cell and atoms, written as POSCAR:
```
La2Pr2Y7
1.0
-1.260 -1.205 -5.906
-0.151 -8.488 -2.280
-8.511 -0.192 -2.189
La Pr Y
2 2 7
Cartesian
-2.568 -7.317 -5.213
-7.354 -2.568 -5.162
-7.733 -7.698 -8.639
-2.189 -2.187 -1.735
-5.263 -0.885 -2.470
-9.049 -4.641 -7.857
-4.658 -9.000 -7.904
-0.872 -5.243 -2.518
0.000 0.000 0.000
-5.929 -5.906 -6.315
-3.993 -3.979 -4.060
```

Calculated values
* space-group type: C2/m, No. 12
* V: 380.65 Å³/cell

---

Bottom line: Q, by a margin of 53 meV per atom.

---

P:
LaPr2Y7 | PBE | optimized geometry

Cell and atoms, written as POSCAR:
```
LaPr2Y7
1.0
5.558 0.000 0.000
0.000 9.357 -0.620
0.000 -4.775 8.071
La Pr Y
1 2 7
Cartesian
0.000 0.000 0.000
2.779 5.146 1.970
2.779 -0.563 5.482
0.000 6.294 1.264
0.000 -1.712 6.188
2.779 -0.798 2.315
2.779 5.381 5.137
2.779 2.426 0.332
2.779 2.157 7.120
2.779 2.291 3.726
```

Calculated values
* space-group type: Cmmm, No. 65
* V: 403.31 Å³/cell

---

Q:
LaPr2Y7 | PBE | optimized geometry

Cell and atoms, written as POSCAR:
```
LaPr2Y7
1.0
5.551 2.203 -1.782
4.186 7.953 -5.939
-2.736 -1.696 10.905
La Pr Y
1 2 7
Cartesian
0.000 0.000 0.000
4.737 5.425 -0.284
2.264 3.035 3.468
7.115 8.127 -0.407
-0.114 0.333 3.591
4.628 5.750 3.322
2.373 2.709 -0.138
7.251 7.774 -3.994
-0.250 0.685 7.179
4.868 5.078 -3.860
```

Calculated values
* space-group type: P-1, No. 2
* V: 334.56 Å³/cell

---

Bottom line: Q, by a margin of 654 meV per atom.

---

P:
La4Pr2Y3 | PBE | optimized geometry

Cell and atoms, written as POSCAR:
```
La4Pr2Y3
1.0
5.224 0.000 0.000
0.000 8.171 0.804
-2.612 -3.205 7.111
La Pr Y
4 2 3
Cartesian
2.612 2.369 1.053
2.612 3.664 4.488
0.000 2.597 6.862
0.000 1.302 3.427
0.000 6.028 5.547
2.612 -1.063 2.369
2.612 0.210 5.797
0.000 4.756 2.119
0.000 0.000 0.000
```

Calculated values
* space-group type: C2/m, No. 12
* V: 316.95 Å³/cell

---

Q:
La4Pr2Y3 | PBE | optimized geometry

Cell and atoms, written as POSCAR:
```
La4Pr2Y3
1.0
3.716 0.000 0.000
-1.858 6.450 1.355
0.000 3.874 14.404
La Pr Y
4 2 3
Cartesian
1.858 2.392 2.230
0.000 3.812 9.021
1.858 6.511 6.737
0.000 7.931 13.528
0.000 5.180 3.934
1.858 5.143 11.824
0.000 7.322 9.839
0.000 0.000 0.000
1.858 3.002 5.920
```

Calculated values
* space-group type: C2/m, No. 12
* V: 325.74 Å³/cell

---

Bottom line: P, by a margin of 66 meV per atom.

---

P:
La2Pr3Y2 | PBE | optimized geometry

Cell and atoms, written as POSCAR:
```
La2Pr3Y2
1.0
3.594 0.000 0.000
0.000 8.721 -0.821
-1.797 -3.591 8.296
La Pr Y
2 3 2
Cartesian
1.797 7.494 0.316
0.000 -2.364 7.159
0.000 4.360 -0.411
0.000 5.406 2.885
1.797 -0.276 4.590
1.797 3.254 5.268
0.000 1.876 2.208
```

Calculated values
* space-group type: C2/m, No. 12
* V: 249.42 Å³/cell

---

Q:
La2Pr3Y2 | PBE | optimized geometry

Cell and atoms, written as POSCAR:
```
La2Pr3Y2
1.0
-3.152 -1.115 1.578
-1.371 -7.492 -8.022
1.564 -4.188 4.489
La Pr Y
2 3 2
Cartesian
-1.565 -4.259 2.530
-1.394 -8.536 -4.485
0.000 0.000 0.000
-3.039 -6.421 -1.948
0.080 -6.374 -0.007
-1.526 -3.225 -0.994
-1.433 -9.570 -0.961
```

Calculated values
* space-group type: P-1, No. 2
* V: 246.60 Å³/cell

---

Bottom line: Q, by a margin of 98 meV per atom.

---

P:
La2Pr3Y5 | PBE | optimized geometry

Cell and atoms, written as POSCAR:
```
La2Pr3Y5
1.0
8.323 1.414 -3.810
0.095 8.412 -3.878
-1.431 -1.575 11.153
La Pr Y
4 6 10
Cartesian
5.332 0.075 5.311
1.655 8.176 -1.845
2.971 5.609 3.681
4.016 2.643 -0.215
0.618 7.039 5.990
6.369 1.213 -2.525
5.746 4.666 -1.828
1.242 3.586 5.294
-0.092 6.132 -0.279
7.080 2.119 3.744
2.267 4.727 -2.525
4.720 3.525 5.991
-0.493 5.703 3.065
3.628 2.212 3.117
7.481 2.549 0.401
3.360 6.039 0.348
6.255 5.242 2.512
0.733 3.010 0.953
1.999 0.382 6.349
4.988 7.869 -2.883
```

Calculated values
* space-group type: C2/c, No. 15
* V: 691.16 Å³/cell

---

Q:
La2Pr3Y5 | PBE | optimized geometry

Cell and atoms, written as POSCAR:
```
La2Pr3Y5
1.0
-0.793 -5.095 4.030
1.306 -9.254 -6.128
8.892 -0.236 6.766
La Pr Y
4 6 10
Cartesian
2.875 -5.905 -1.585
5.058 -5.386 4.814
6.529 -8.680 6.253
4.346 -9.199 -0.146
8.858 -6.954 3.580
5.943 -12.495 1.315
0.547 -7.631 1.088
3.462 -2.090 3.353
-0.198 -1.274 1.008
-0.595 -3.821 3.023
8.292 -4.710 6.305
2.838 -13.270 -0.276
1.112 -9.874 -1.636
6.566 -1.314 4.945
7.218 -9.651 2.504
2.186 -4.933 2.164
4.504 -8.566 3.342
4.900 -6.019 1.327
1.790 -7.481 4.179
7.614 -7.104 0.489
```

Calculated values
* space-group type: Ibam, No. 72
* V: 703.82 Å³/cell

---

Bottom line: P, by a margin of 102 meV per atom.